Model a:
Density functional theory data (PBE-GGA) for crystalline Ac2TmNi at its relaxed geometry.

```
data_Ac2TmNi
_chemical_formula_sum 'Ac2 Tm1 Ni1'
_cell_length_a 3.7857
_cell_length_b 3.7857
_cell_length_c 8.7423
_cell_angle_alpha 90.00
_cell_angle_beta 90.00
_cell_angle_gamma 90.00
_symmetry_space_group_name_H-M 'P 4/m m m'
_symmetry_Int_Tables_number 123
_symmetry_space_group_name_Hall '-P 4 2'
loop_
_atom_site_label
_atom_site_type_symbol
_atom_site_fract_x
_atom_site_fract_y
_atom_site_fract_z
Ac1 Ac 0.0000 0.0000 0.2011
Tm1 Tm 0.5000 0.5000 0.5000
Ni1 Ni 0.5000 0.5000 0.0000
```

Values from the calculation:
Size of the total moment = 0.0005 μB/atom
Volume = 125.3 Å³ per cell

=====

Model b:
Density functional theory data (PBE-GGA) for crystalline Ac2TmNi at its relaxed geometry.

```
data_Ac2TmNi
_chemical_formula_sum 'Ac6 Tm3 Ni3'
_cell_length_a 3.7392
_cell_length_b 3.7392
_cell_length_c 33.7367
_cell_angle_alpha 90.00
_cell_angle_beta 90.00
_cell_angle_gamma 120.00
_symmetry_space_group_name_H-M 'R -3 m'
_symmetry_Int_Tables_number 166
_symmetry_space_group_name_Hall '-R 3 2"'
loop_
_atom_site_label
_atom_site_type_symbol
_atom_site_fract_x
_atom_site_fract_y
_atom_site_fract_z
Ac1 Ac 0.0000 0.0000 0.0777
Tm1 Tm 0.0000 0.0000 0.5000
Ni1 Ni 0.0000 0.0000 0.0000
```

Values from the calculation:
Size of the total moment = 0.0000 μB/atom
Volume = 408.5 Å³ per cell

=====

Which structure is the most stable? The one labeled model a.

=====

Model a:
Density functional theory data (PBE-GGA) for crystalline AcYNi2 at its relaxed geometry.

```
data_AcYNi2
_chemical_formula_sum 'Ac4 Y4 Ni8'
_cell_length_a 7.0893
_cell_length_b 7.0893
_cell_length_c 7.0893
_cell_angle_alpha 90.00
_cell_angle_beta 90.00
_cell_angle_gamma 90.00
_symmetry_space_group_name_H-M 'F m -3 m'
_symmetry_Int_Tables_number 225
_symmetry_space_group_name_Hall '-F 4 2 3'
loop_
_atom_site_label
_atom_site_type_symbol
_atom_site_fract_x
_atom_site_fract_y
_atom_site_fract_z
Ac1 Ac 0.0000 0.0000 0.0000
Y1 Y 0.0000 0.0000 0.5000
Ni1 Ni 0.2500 0.2500 0.2500
```

Values from the calculation:
Size of the total moment = 0.0000 μB/atom
Volume = 356.3 Å³ per cell

=====

Model b:
Density functional theory data (PBE-GGA) for crystalline AcYNi2 at its relaxed geometry.

```
data_AcYNi2
_chemical_formula_sum 'Ac3 Y3 Ni6'
_cell_length_a 4.6362
_cell_length_b 4.6362
_cell_length_c 15.1222
_cell_angle_alpha 90.00
_cell_angle_beta 90.00
_cell_angle_gamma 120.00
_symmetry_space_group_name_H-M 'R -3 m'
_symmetry_Int_Tables_number 166
_symmetry_space_group_name_Hall '-R 3 2"'
loop_
_atom_site_label
_atom_site_type_symbol
_atom_site_fract_x
_atom_site_fract_y
_atom_site_fract_z
Ac1 Ac 0.0000 0.0000 0.0000
Y1 Y 0.0000 0.0000 0.5000
Ni1 Ni 0.0000 0.0000 0.2136
```

Values from the calculation:
Size of the total moment = 0.0000 μB/atom
Volume = 281.5 Å³ per cell

=====

Model c:
Density functional theory data (PBE-GGA) for crystalline AcYNi2 at its relaxed geometry.

```
data_AcYNi2
_chemical_formula_sum 'Ac1 Y1 Ni2'
_cell_length_a 3.9109
_cell_length_b 4.3026
_cell_length_c 5.7674
_cell_angle_alpha 90.00
_cell_angle_beta 109.74
_cell_angle_gamma 90.00
_symmetry_space_group_name_H-M 'P 1 m 1'
_symmetry_Int_Tables_number 6
_symmetry_space_group_name_Hall 'P -2y'
loop_
_atom_site_label
_atom_site_type_symbol
_atom_site_fract_x
_atom_site_fract_y
_atom_site_fract_z
Ac1 Ac 0.0000 0.0000 0.0000
Y1 Y 0.2740 0.5000 0.5475
Ni1 Ni 0.5793 0.5000 0.1581
Ni2 Ni 0.7167 0.0000 0.4335
```

Values from the calculation:
Size of the total moment = 0.0000 μB/atom
Volume = 91.3 Å³ per cell

=====

Which structure is the most stable? The one labeled model c.

=====

Model a:
Density functional theory data (PBE-GGA) for crystalline AcYNi at its relaxed geometry.

```
data_AcYNi
_chemical_formula_sum 'Ac2 Y2 Ni2'
_cell_length_a 3.5955
_cell_length_b 3.5955
_cell_length_c 12.9704
_cell_angle_alpha 90.00
_cell_angle_beta 90.00
_cell_angle_gamma 90.00
_symmetry_space_group_name_H-M 'I 4 m m'
_symmetry_Int_Tables_number 107
_symmetry_space_group_name_Hall 'I 4 -2'
loop_
_atom_site_label
_atom_site_type_symbol
_atom_site_fract_x
_atom_site_fract_y
_atom_site_fract_z
Ac1 Ac 0.0000 0.0000 0.0000
Y1 Y 0.0000 0.0000 0.2608
Ni1 Ni 0.0000 0.0000 0.6519
```

Values from the calculation:
Size of the total moment = 0.0000 μB/atom
Volume = 167.7 Å³ per cell

=====

Model b:
Density functional theory data (PBE-GGA) for crystalline AcYNi at its relaxed geometry.

```
data_AcYNi
_chemical_formula_sum 'Ac4 Y4 Ni4'
_cell_length_a 3.7686
_cell_length_b 6.7482
_cell_length_c 14.8044
_cell_angle_alpha 90.00
_cell_angle_beta 90.00
_cell_angle_gamma 90.00
_symmetry_space_group_name_H-M 'I m m m'
_symmetry_Int_Tables_number 71
_symmetry_space_group_name_Hall '-I 2 2'
loop_
_atom_site_label
_atom_site_type_symbol
_atom_site_fract_x
_atom_site_fract_y
_atom_site_fract_z
Ac1 Ac 0.0000 0.0000 0.1327
Y1 Y 0.0000 0.0000 0.3856
Ni1 Ni 0.0000 0.3185 0.0000
```

Values from the calculation:
Size of the total moment = 0.0000 μB/atom
Volume = 376.5 Å³ per cell

=====

Model c:
Density functional theory data (PBE-GGA) for crystalline AcYNi at its relaxed geometry.

```
data_AcYNi
_chemical_formula_sum 'Ac2 Y2 Ni2'
_cell_length_a 6.5354
_cell_length_b 4.1009
_cell_length_c 6.7163
_cell_angle_alpha 90.00
_cell_angle_beta 90.00
_cell_angle_gamma 90.00
_symmetry_space_group_name_H-M 'P m m a'
_symmetry_Int_Tables_number 51
_symmetry_space_group_name_Hall '-P 2a 2a'
loop_
_atom_site_label
_atom_site_type_symbol
_atom_site_fract_x
_atom_site_fract_y
_atom_site_fract_z
Ac1 Ac 0.2500 0.0000 0.1500
Y1 Y 0.2500 0.5000 0.6501
Ni1 Ni 0.0000 0.0000 0.5000
```

Values from the calculation:
Size of the total moment = 0.0000 μB/atom
Volume = 180.0 Å³ per cell

=====

Which structure is the most stable? The one labeled model c.

=====

Model a:
Density functional theory data (PBE-GGA) for crystalline AcZn2Ni2 at its relaxed geometry.

```
data_AcZn2Ni2
_chemical_formula_sum 'Ac2 Zn4 Ni4'
_cell_length_a 10.1442
_cell_length_b 4.1555
_cell_length_c 4.7387
_cell_angle_alpha 90.00
_cell_angle_beta 107.90
_cell_angle_gamma 90.00
_symmetry_space_group_name_H-M 'C 1 2/m 1'
_symmetry_Int_Tables_number 12
_symmetry_space_group_name_Hall '-C 2y'
loop_
_atom_site_label
_atom_site_type_symbol
_atom_site_fract_x
_atom_site_fract_y
_atom_site_fract_z
Ac1 Ac 0.0000 0.0000 0.0000
Zn1 Zn 0.1583 0.5000 0.5842
Ni1 Ni 0.2356 0.5000 0.1359
```

Values from the calculation:
Size of the total moment = 0.0000 μB/atom
Volume = 190.1 Å³ per cell

=====

Model b:
Density functional theory data (PBE-GGA) for crystalline AcZn2Ni2 at its relaxed geometry.

```
data_AcZn2Ni2
_chemical_formula_sum 'Ac4 Zn8 Ni8'
_cell_length_a 6.3423
_cell_length_b 6.2975
_cell_length_c 9.3816
_cell_angle_alpha 90.00
_cell_angle_beta 90.00
_cell_angle_gamma 90.00
_symmetry_space_group_name_H-M 'C m c m'
_symmetry_Int_Tables_number 63
_symmetry_space_group_name_Hall '-C 2c 2'
loop_
_atom_site_label
_atom_site_type_symbol
_atom_site_fract_x
_atom_site_fract_y
_atom_site_fract_z
Ac1 Ac 0.0000 0.2297 0.2500
Zn1 Zn 0.0000 0.2903 0.6058
Ni1 Ni 0.2059 0.0000 0.0000
```

Values from the calculation:
Size of the total moment = 0.0000 μB/atom
Volume = 374.7 Å³ per cell

=====

Which structure is the most stable? The one labeled model a.

=====

Model a:
Density functional theory data (PBE-GGA) for crystalline AcZn9Ni2 at its relaxed geometry.

```
data_AcZn9Ni2
_chemical_formula_sum 'Ac1 Zn9 Ni2'
_cell_length_a 7.9662
_cell_length_b 7.9662
_cell_length_c 3.7957
_cell_angle_alpha 90.00
_cell_angle_beta 90.00
_cell_angle_gamma 120.00
_symmetry_space_group_name_H-M 'P 6/m m m'
_symmetry_Int_Tables_number 191
_symmetry_space_group_name_Hall '-P 6 2'
loop_
_atom_site_label
_atom_site_type_symbol
_atom_site_fract_x
_atom_site_fract_y
_atom_site_fract_z
Ac1 Ac 0.0000 0.0000 0.0000
Zn1 Zn 0.0000 0.5000 0.0000
Zn2 Zn 0.2086 0.4173 0.5000
Ni1 Ni 0.3333 0.6667 0.0000
```

Values from the calculation:
Size of the total moment = 0.0000 μB/atom
Volume = 208.6 Å³ per cell

=====

Model b:
Density functional theory data (PBE-GGA) for crystalline AcZn9Ni2 at its relaxed geometry.

```
data_AcZn9Ni2
_chemical_formula_sum 'Ac4 Zn36 Ni8'
_cell_length_a 10.5895
_cell_length_b 10.5895
_cell_length_c 6.8616
_cell_angle_alpha 90.00
_cell_angle_beta 90.00
_cell_angle_gamma 90.00
_symmetry_space_group_name_H-M 'I 41/a m d'
_symmetry_Int_Tables_number 141
loop_
_symmetry_equiv_pos_as_xyz
'x,y,z'
'-x,-y,-z'
'-y+1/4,x+3/4,z+1/4'
'y+1/4,-x+3/4,-z+1/4'
'-x+1/2,-y,z+1/2'
'x+1/2,y,-z+1/2'
'y+1/4,-x+1/4,z+3/4'
'-y+1/4,x+1/4,-z+3/4'
'x,-y,-z'
'-x,y,z'
'-y+1/4,-x+1/4,-z+3/4'
'y+1/4,x+1/4,z+3/4'
'-x+1/2,y,-z+1/2'
'x+1/2,-y,z+1/2'
'y+1/4,x+3/4,-z+1/4'
'-y+1/4,-x+3/4,z+1/4'
'x+1/2,y+1/2,z+1/2'
'-x+1/2,-y+1/2,-z+1/2'
'-y+3/4,x+1/4,z+3/4'
'y+3/4,-x+1/4,-z+3/4'
'-x,-y+1/2,z'
'x,y+1/2,-z'
'y+3/4,-x+3/4,z+1/4'
'-y+3/4,x+3/4,-z+1/4'
'x+1/2,-y+1/2,-z+1/2'
'-x+1/2,y+1/2,z+1/2'
'-y+3/4,-x+3/4,-z+1/4'
'y+3/4,x+3/4,z+1/4'
'-x,y+1/2,-z'
'x,-y+1/2,z'
'y+3/4,x+1/4,-z+3/4'
'-y+3/4,-x+1/4,z+3/4'
loop_
_atom_site_label
_atom_site_type_symbol
_atom_site_fract_x
_atom_site_fract_y
_atom_site_fract_z
Ac1 Ac 0.0000 0.2500 0.3750
Zn1 Zn 0.0000 0.2500 0.8750
Zn2 Zn 0.1232 0.0459 0.6931
Ni1 Ni 0.0000 0.0000 0.0000
```

Values from the calculation:
Size of the total moment = 0.0000 μB/atom
Volume = 769.4 Å³ per cell

=====

Which structure is the most stable? The one labeled model b.

=====

Model a:
Density functional theory data (PBE-GGA) for crystalline AcZn4Ni at its relaxed geometry.

```
data_AcZn4Ni
_chemical_formula_sum 'Ac2 Zn8 Ni2'
_cell_length_a 7.8450
_cell_length_b 4.0481
_cell_length_c 7.2236
_cell_angle_alpha 90.00
_cell_angle_beta 90.00
_cell_angle_gamma 90.00
_symmetry_space_group_name_H-M 'P m m a'
_symmetry_Int_Tables_number 51
_symmetry_space_group_name_Hall '-P 2a 2a'
loop_
_atom_site_label
_atom_site_type_symbol
_atom_site_fract_x
_atom_site_fract_y
_atom_site_fract_z
Ac1 Ac 0.2500 0.0000 0.0969
Zn1 Zn 0.0000 0.0000 0.5000
Zn2 Zn 0.0620 0.5000 0.7641
Zn3 Zn 0.2500 0.5000 0.4527
Ni1 Ni 0.2500 0.0000 0.6907
```

Values from the calculation:
Size of the total moment = 0.0000 μB/atom
Volume = 229.4 Å³ per cell

=====

Model b:
Density functional theory data (PBE-GGA) for crystalline AcZn4Ni at its relaxed geometry.

```
data_AcZn4Ni
_chemical_formula_sum 'Ac4 Zn16 Ni4'
_cell_length_a 7.6653
_cell_length_b 7.6653
_cell_length_c 7.6653
_cell_angle_alpha 90.00
_cell_angle_beta 90.00
_cell_angle_gamma 90.00
_symmetry_space_group_name_H-M 'F -4 3 m'
_symmetry_Int_Tables_number 216
_symmetry_space_group_name_Hall 'F -4 2 3'
loop_
_atom_site_label
_atom_site_type_symbol
_atom_site_fract_x
_atom_site_fract_y
_atom_site_fract_z
Ac1 Ac 0.0000 0.0000 0.0000
Zn1 Zn 0.1223 0.1223 0.6223
Ni1 Ni 0.2500 0.2500 0.2500
```

Values from the calculation:
Size of the total moment = 0.0000 μB/atom
Volume = 450.4 Å³ per cell

=====

Model c:
Density functional theory data (PBE-GGA) for crystalline AcZn4Ni at its relaxed geometry.

```
data_AcZn4Ni
_chemical_formula_sum 'Ac1 Zn4 Ni1'
_cell_length_a 4.5672
_cell_length_b 4.5672
_cell_length_c 6.7996
_cell_angle_alpha 90.00
_cell_angle_beta 90.00
_cell_angle_gamma 90.00
_symmetry_space_group_name_H-M 'P 4/m m m'
_symmetry_Int_Tables_number 123
_symmetry_space_group_name_Hall '-P 4 2'
loop_
_atom_site_label
_atom_site_type_symbol
_atom_site_fract_x
_atom_site_fract_y
_atom_site_fract_z
Ac1 Ac 0.0000 0.0000 0.0000
Zn1 Zn 0.0000 0.5000 0.5000
Zn2 Zn 0.5000 0.5000 0.1729
Ni1 Ni 0.5000 0.5000 0.5000
```

Values from the calculation:
Size of the total moment = 0.0002 μB/atom
Volume = 141.8 Å³ per cell

=====

Which structure is the most stable? The one labeled model a.